one.
This record from the Alexandria database describes a relaxed structure of B2I2O. The functional is PBE.

```
data_B2I2O
_space_group_name_H-M_alt 'P 4/m b m'
_space_group_IT_number 127
_space_group_name_Hall '-P 4 2ab'
_cell_length_a 6.9306
_cell_length_b 6.9306
_cell_length_c 3.5461
_cell_angle_alpha 90.00
_cell_angle_beta 90.00
_cell_angle_gamma 90.00
loop_
_atom_site_label
_atom_site_type_symbol
_atom_site_fract_x
_atom_site_fract_y
_atom_site_fract_z
_atom_site_occupancy
B1 B 0.1985 0.3015 0.0000 1
I1 I 0.1624 0.6624 0.5000 1
O1 O 0.0000 0.0000 0.0000 1
```


two.
This record from the Alexandria database describes a relaxed structure of B2I2O. The functional is PBE.

```
data_B2I2O
_space_group_name_H-M_alt 'I 4/m m m'
_space_group_IT_number 139
_space_group_name_Hall '-I 4 2'
_cell_length_a 4.6554
_cell_length_b 4.6554
_cell_length_c 6.9691
_cell_angle_alpha 90.00
_cell_angle_beta 90.00
_cell_angle_gamma 90.00
loop_
_atom_site_label
_atom_site_type_symbol
_atom_site_fract_x
_atom_site_fract_y
_atom_site_fract_z
_atom_site_occupancy
B1 B 0.0000 0.0000 0.1236 1
I1 I 0.0000 0.5000 0.2500 1
O1 O 0.0000 0.0000 0.5000 1
```


Most stable structure, least stable structure: two, one.


one.
This record from the Alexandria database describes a relaxed structure of BP2IO. The functional is PBE.

```
data_BP2IO
_space_group_name_H-M_alt 'P 4/m m m'
_space_group_IT_number 123
_space_group_name_Hall '-P 4 2'
_cell_length_a 5.1828
_cell_length_b 5.1828
_cell_length_c 3.9075
_cell_angle_alpha 90.00
_cell_angle_beta 90.00
_cell_angle_gamma 90.00
loop_
_atom_site_label
_atom_site_type_symbol
_atom_site_fract_x
_atom_site_fract_y
_atom_site_fract_z
_atom_site_occupancy
B1 B 0.0000 0.0000 0.0000 1
P1 P 0.0000 0.5000 0.5000 1
I1 I 0.5000 0.5000 0.5000 1
O1 O 0.5000 0.5000 0.0000 1
```


two.
This record from the Alexandria database describes a relaxed structure of BP2IO. The functional is PBE.

```
data_BP2IO
_space_group_name_H-M_alt 'P 4/m m m'
_space_group_IT_number 123
_space_group_name_Hall '-P 4 2'
_cell_length_a 4.9034
_cell_length_b 4.9034
_cell_length_c 3.0621
_cell_angle_alpha 90.00
_cell_angle_beta 90.00
_cell_angle_gamma 90.00
loop_
_atom_site_label
_atom_site_type_symbol
_atom_site_fract_x
_atom_site_fract_y
_atom_site_fract_z
_atom_site_occupancy
B1 B 0.0000 0.0000 0.0000 1
P1 P 0.0000 0.5000 0.0000 1
I1 I 0.5000 0.5000 0.5000 1
O1 O 0.0000 0.0000 0.5000 1
```


Most stable structure, least stable structure: two, one.


one.
This record from the Alexandria database describes a relaxed structure of BPbI2O. The functional is PBE.

```
data_BPbI2O
_space_group_name_H-M_alt 'P 4/m m m'
_space_group_IT_number 123
_space_group_name_Hall '-P 4 2'
_cell_length_a 6.0271
_cell_length_b 6.0271
_cell_length_c 3.1739
_cell_angle_alpha 90.00
_cell_angle_beta 90.00
_cell_angle_gamma 90.00
loop_
_atom_site_label
_atom_site_type_symbol
_atom_site_fract_x
_atom_site_fract_y
_atom_site_fract_z
_atom_site_occupancy
B1 B 0.0000 0.0000 0.0000 1
Pb1 Pb 0.5000 0.5000 0.5000 1
I1 I 0.0000 0.5000 0.0000 1
O1 O 0.0000 0.0000 0.5000 1
```


two.
This record from the Alexandria database describes a relaxed structure of BPbI2O. The functional is PBE.

```
data_BPbI2O
_space_group_name_H-M_alt 'P 4/m m m'
_space_group_IT_number 123
_space_group_name_Hall '-P 4 2'
_cell_length_a 6.2257
_cell_length_b 6.2257
_cell_length_c 4.2113
_cell_angle_alpha 90.00
_cell_angle_beta 90.00
_cell_angle_gamma 90.00
loop_
_atom_site_label
_atom_site_type_symbol
_atom_site_fract_x
_atom_site_fract_y
_atom_site_fract_z
_atom_site_occupancy
B1 B 0.0000 0.0000 0.0000 1
Pb1 Pb 0.5000 0.5000 0.5000 1
I1 I 0.0000 0.5000 0.5000 1
O1 O 0.5000 0.5000 0.0000 1
```


Most stable structure, least stable structure: one, two.


one.
This record from the Alexandria database describes a relaxed structure of BPdIO2. The functional is PBE.

```
data_BPdIO2
_space_group_name_H-M_alt 'P 4/m m m'
_space_group_IT_number 123
_space_group_name_Hall '-P 4 2'
_cell_length_a 3.4770
_cell_length_b 3.4770
_cell_length_c 7.0197
_cell_angle_alpha 90.00
_cell_angle_beta 90.00
_cell_angle_gamma 90.00
loop_
_atom_site_label
_atom_site_type_symbol
_atom_site_fract_x
_atom_site_fract_y
_atom_site_fract_z
_atom_site_occupancy
B1 B 0.0000 0.0000 0.0000 1
Pd1 Pd 0.5000 0.5000 0.5000 1
I1 I 0.0000 0.0000 0.5000 1
O1 O 0.0000 0.5000 0.0000 1
```


two.
This record from the Alexandria database describes a relaxed structure of BPdIO2. The functional is PBE.

```
data_BPdIO2
_space_group_name_H-M_alt 'P 4/m m m'
_space_group_IT_number 123
_space_group_name_Hall '-P 4 2'
_cell_length_a 3.7966
_cell_length_b 3.7966
_cell_length_c 7.8262
_cell_angle_alpha 90.00
_cell_angle_beta 90.00
_cell_angle_gamma 90.00
loop_
_atom_site_label
_atom_site_type_symbol
_atom_site_fract_x
_atom_site_fract_y
_atom_site_fract_z
_atom_site_occupancy
B1 B 0.0000 0.0000 0.0000 1
Pd1 Pd 0.5000 0.5000 0.5000 1
I1 I 0.5000 0.5000 0.0000 1
O1 O 0.0000 0.5000 0.5000 1
```


Most stable structure, least stable structure: one, two.


one.
This record from the Alexandria database describes a relaxed structure of BPtIO2. The functional is PBE.

```
data_BPtIO2
_space_group_name_H-M_alt 'P 4/m m m'
_space_group_IT_number 123
_space_group_name_Hall '-P 4 2'
_cell_length_a 3.7663
_cell_length_b 3.7663
_cell_length_c 8.4016
_cell_angle_alpha 90.00
_cell_angle_beta 90.00
_cell_angle_gamma 90.00
loop_
_atom_site_label
_atom_site_type_symbol
_atom_site_fract_x
_atom_site_fract_y
_atom_site_fract_z
_atom_site_occupancy
B1 B 0.0000 0.0000 0.0000 1
Pt1 Pt 0.5000 0.5000 0.5000 1
I1 I 0.5000 0.5000 0.0000 1
O1 O 0.0000 0.5000 0.5000 1
```


two.
This record from the Alexandria database describes a relaxed structure of BPtIO2. The functional is PBE.

```
data_BPtIO2
_space_group_name_H-M_alt 'P 4/m m m'
_space_group_IT_number 123
_space_group_name_Hall '-P 4 2'
_cell_length_a 3.5014
_cell_length_b 3.5014
_cell_length_c 7.1836
_cell_angle_alpha 90.00
_cell_angle_beta 90.00
_cell_angle_gamma 90.00
loop_
_atom_site_label
_atom_site_type_symbol
_atom_site_fract_x
_atom_site_fract_y
_atom_site_fract_z
_atom_site_occupancy
B1 B 0.0000 0.0000 0.0000 1
Pt1 Pt 0.5000 0.5000 0.5000 1
I1 I 0.0000 0.0000 0.5000 1
O1 O 0.0000 0.5000 0.0000 1
```


Most stable structure, least stable structure: two, one.


one.
This record from the Alexandria database describes a relaxed structure of ScBI2O. The functional is PBE.

```
data_ScBI2O
_space_group_name_H-M_alt 'P 4/m m m'
_space_group_IT_number 123
_space_group_name_Hall '-P 4 2'
_cell_length_a 5.8966
_cell_length_b 5.8966
_cell_length_c 3.8831
_cell_angle_alpha 90.00
_cell_angle_beta 90.00
_cell_angle_gamma 90.00
loop_
_atom_site_label
_atom_site_type_symbol
_atom_site_fract_x
_atom_site_fract_y
_atom_site_fract_z
_atom_site_occupancy
Sc1 Sc 0.0000 0.0000 0.0000 1
B1 B 0.5000 0.5000 0.5000 1
I1 I 0.0000 0.5000 0.0000 1
O1 O 0.0000 0.0000 0.5000 1
```


two.
This record from the Alexandria database describes a relaxed structure of ScBI2O. The functional is PBE.

```
data_ScBI2O
_space_group_name_H-M_alt 'P 4/m m m'
_space_group_IT_number 123
_space_group_name_Hall '-P 4 2'
_cell_length_a 5.5272
_cell_length_b 5.5272
_cell_length_c 3.2832
_cell_angle_alpha 90.00
_cell_angle_beta 90.00
_cell_angle_gamma 90.00
loop_
_atom_site_label
_atom_site_type_symbol
_atom_site_fract_x
_atom_site_fract_y
_atom_site_fract_z
_atom_site_occupancy
Sc1 Sc 0.0000 0.0000 0.0000 1
B1 B 0.5000 0.5000 0.5000 1
I1 I 0.0000 0.5000 0.5000 1
O1 O 0.5000 0.5000 0.0000 1
```


Most stable structure, least stable structure: one, two.


one.
This record from the Alexandria database describes a relaxed structure of SnBIO2. The functional is PBE.

```
data_SnBIO2
_space_group_name_H-M_alt 'P 4/m m m'
_space_group_IT_number 123
_space_group_name_Hall '-P 4 2'
_cell_length_a 3.9565
_cell_length_b 3.9565
_cell_length_c 6.6751
_cell_angle_alpha 90.00
_cell_angle_beta 90.00
_cell_angle_gamma 90.00
loop_
_atom_site_label
_atom_site_type_symbol
_atom_site_fract_x
_atom_site_fract_y
_atom_site_fract_z
_atom_site_occupancy
Sn1 Sn 0.0000 0.0000 0.0000 1
B1 B 0.5000 0.5000 0.5000 1
I1 I 0.0000 0.0000 0.5000 1
O1 O 0.0000 0.5000 0.0000 1
```


two.
This record from the Alexandria database describes a relaxed structure of SnBIO2. The functional is PBE.

```
data_SnBIO2
_space_group_name_H-M_alt 'P 4/m m m'
_space_group_IT_number 123
_space_group_name_Hall '-P 4 2'
_cell_length_a 4.0486
_cell_length_b 4.0486
_cell_length_c 4.5210
_cell_angle_alpha 90.00
_cell_angle_beta 90.00
_cell_angle_gamma 90.00
loop_
_atom_site_label
_atom_site_type_symbol
_atom_site_fract_x
_atom_site_fract_y
_atom_site_fract_z
_atom_site_occupancy
Sn1 Sn 0.0000 0.0000 0.0000 1
B1 B 0.5000 0.5000 0.5000 1
I1 I 0.5000 0.5000 0.0000 1
O1 O 0.0000 0.5000 0.5000 1
```


Most stable structure, least stable structure: one, two.


one.
This record from the Alexandria database describes a relaxed structure of TaBIO2. The functional is PBE.

```
data_TaBIO2
_space_group_name_H-M_alt 'P 4/m m m'
_space_group_IT_number 123
_space_group_name_Hall '-P 4 2'
_cell_length_a 3.9068
_cell_length_b 3.9068
_cell_length_c 6.1322
_cell_angle_alpha 90.00
_cell_angle_beta 90.00
_cell_angle_gamma 90.00
loop_
_atom_site_label
_atom_site_type_symbol
_atom_site_fract_x
_atom_site_fract_y
_atom_site_fract_z
_atom_site_occupancy
Ta1 Ta 0.0000 0.0000 0.0000 1
B1 B 0.5000 0.5000 0.5000 1
I1 I 0.0000 0.0000 0.5000 1
O1 O 0.0000 0.5000 0.0000 1
```


two.
This record from the Alexandria database describes a relaxed structure of TaBIO2. The functional is PBE.

```
data_TaBIO2
_space_group_name_H-M_alt 'P 4/m m m'
_space_group_IT_number 123
_space_group_name_Hall '-P 4 2'
_cell_length_a 3.8738
_cell_length_b 3.8738
_cell_length_c 4.4403
_cell_angle_alpha 90.00
_cell_angle_beta 90.00
_cell_angle_gamma 90.00
loop_
_atom_site_label
_atom_site_type_symbol
_atom_site_fract_x
_atom_site_fract_y
_atom_site_fract_z
_atom_site_occupancy
Ta1 Ta 0.0000 0.0000 0.0000 1
B1 B 0.5000 0.5000 0.5000 1
I1 I 0.5000 0.5000 0.0000 1
O1 O 0.0000 0.5000 0.5000 1
```


Most stable structure, least stable structure: one, two.